Computed, not measured: a geometry-optimized TaIn2Tc structure at the PBE level of DFT.

Lattice parameters (Å, degrees): 3.351 4.790 9.564 90.00 90.00 90.00
Element x y z (fractional)
1 Ta 0.000 0.000 0.000
2 Ta 0.500 0.500 0.500
3 In 0.000 0.000 0.456
4 In 0.000 0.500 0.233
5 In 0.500 0.000 0.733
6 In 0.500 0.500 0.956
7 Tc 0.000 0.500 0.704
8 Tc 0.500 0.000 0.204

The value obtained for the energy relative to the lowest polymorph listed for this composition is 13.6 kJ per mole of atoms. As for the density of states at the Fermi level: 2.5 states/eV/f.u. The formation energy comes out at 0.22 eV per atom.

Computed, not measured: a geometry-optimized DyErNiPt structure at the PBE level of DFT.

Lattice parameters (Å, degrees): 6.863 6.863 6.863 90.00 90.00 90.00
Element x y z (fractional)
1 Dy 0.000 0.000 0.000
2 Dy 0.000 0.500 0.500
3 Dy 0.500 0.000 0.500
4 Dy 0.500 0.500 0.000
5 Er 0.000 0.000 0.500
6 Er 0.000 0.500 0.000
7 Er 0.500 0.000 0.000
8 Er 0.500 0.500 0.500
9 Ni 0.250 0.250 0.750
10 Ni 0.250 0.750 0.250
11 Ni 0.750 0.250 0.250
12 Ni 0.750 0.750 0.750
13 Pt 0.250 0.250 0.250
14 Pt 0.250 0.750 0.750
15 Pt 0.750 0.250 0.750
16 Pt 0.750 0.750 0.250

The value obtained for the energy relative to the lowest polymorph listed for this composition is 5.6 kJ per mole of atoms. As for the density of states at the Fermi level: 3.5 states/eV/f.u. The formation energy comes out at -0.83 eV per atom.

Computed, not measured: a geometry-optimized EuAg3 structure at the PBE level of DFT.

Lattice parameters (Å, degrees): 4.519 4.519 4.519 90.00 90.00 90.00
Element x y z (fractional)
1 Eu 0.000 0.000 0.000
2 Ag 0.000 0.500 0.500
3 Ag 0.500 0.000 0.500
4 Ag 0.500 0.500 0.000

As for the density of states at the Fermi level: 13.1 states/eV/f.u. The formation energy comes out at -0.04 eV per atom.

Computed, not measured: a geometry-optimized ScAuSe2 structure at the PBE level of DFT.

Lattice parameters (Å, degrees): 4.023 4.023 6.861 90.00 90.00 120.00
Element x y z (fractional)
1 Sc 0.000 0.000 0.000
2 Au 0.333 0.667 0.432
3 Se 0.333 0.667 0.795
4 Se 0.667 0.333 0.221

The uncorrected formation energy is -0.93 eV/atom. As for the density of states at the Fermi level: 0.0 states/eV/f.u.

Computed, not measured: a geometry-optimized CaReRh2 structure at the PBE level of DFT.

Lattice parameters (Å, degrees): 3.913 3.913 8.626 90.00 90.00 90.00
Element x y z (fractional)
1 Ca 0.000 0.000 0.000
2 Ca 0.500 0.500 0.500
3 Re 0.000 0.500 0.750
4 Re 0.500 0.000 0.250
5 Rh 0.000 0.000 0.500
6 Rh 0.000 0.500 0.250
7 Rh 0.500 0.000 0.750
8 Rh 0.500 0.500 0.000

The value obtained for the energy relative to the lowest polymorph listed for this composition is 40.5 kJ per mole of atoms. As for the density of states at the Fermi level: 4.1 states/eV/f.u. The formation energy comes out at 0.36 eV per atom.

Computed, not measured: a geometry-optimized LaPm5YTm2 structure at the PBE level of DFT.

Lattice parameters (Å, degrees): 10.485 10.485 10.681 90.00 90.00 148.49
Element x y z (fractional)
1 La 0.083 0.917 0.500
2 La 0.917 0.083 0.000
3 Pm 0.020 0.980 0.789
4 Pm 0.114 0.886 0.073
5 Pm 0.203 0.797 0.757
6 Pm 0.219 0.781 0.362
7 Pm 0.483 0.517 0.072
8 Pm 0.517 0.483 0.572
9 Pm 0.781 0.219 0.862
10 Pm 0.797 0.203 0.257
11 Pm 0.886 0.114 0.573
12 Pm 0.980 0.020 0.289
13 Y 0.300 0.700 0.061
14 Y 0.700 0.300 0.561
15 Tm 0.384 0.616 0.368
16 Tm 0.387 0.613 0.783
17 Tm 0.613 0.387 0.283
18 Tm 0.616 0.384 0.868

As for the density of states at the Fermi level: 14.6 states/eV/f.u. The formation energy comes out at 0.15 eV per atom.

Computed, not measured: a geometry-optimized InCuPb2 structure at the PBE level of DFT.

Lattice parameters (Å, degrees): 7.474 7.474 7.474 90.00 90.00 90.00
Element x y z (fractional)
1 In 0.000 0.000 0.000
2 In 0.000 0.500 0.500
3 In 0.500 0.000 0.500
4 In 0.500 0.500 0.000
5 Cu 0.250 0.250 0.250
6 Cu 0.250 0.750 0.750
7 Cu 0.750 0.250 0.750
8 Cu 0.750 0.750 0.250
9 Pb 0.000 0.000 0.500
10 Pb 0.000 0.500 0.000
11 Pb 0.250 0.250 0.750
12 Pb 0.250 0.750 0.250
13 Pb 0.500 0.000 0.000
14 Pb 0.500 0.500 0.500
15 Pb 0.750 0.250 0.250
16 Pb 0.750 0.750 0.750

As for the density of states at the Fermi level: 0.9 states/eV/f.u. The formation energy comes out at 0.26 eV per atom.

Computed, not measured: a geometry-optimized LiIn2SbO6 structure at the PBE level of DFT.

Lattice parameters (Å, degrees): 5.815 5.815 5.815 55.73 55.73 55.73
Element x y z (fractional)
1 Li 0.000 0.000 0.000
2 In 0.265 0.265 0.265
3 In 0.771 0.771 0.771
4 Sb 0.470 0.470 0.470
5 O 0.095 0.669 0.374
6 O 0.205 0.567 0.841
7 O 0.374 0.095 0.669
8 O 0.567 0.841 0.205
9 O 0.669 0.374 0.095
10 O 0.841 0.205 0.567

The uncorrected formation energy is -1.62 eV/atom. As for the density of states at the Fermi level: 0.0 states/eV/f.u.